1.
The following is a DFT calculation (PBE) of a geometry-optimized TbPmPr6Sm2 structure.

Properties
V	1410.1	Å³ per cell
final energy	-185.14	eV/cell
energy of formation from the pure elements	0.121	eV/atom

Structure (CIF):
```
data_TbPmPr6Sm2
_space_group_name_H-M_alt 'C 1 2/c 1'
_space_group_IT_number 15
_space_group_name_Hall '-C 2yc'
_cell_length_a 9.8269
_cell_length_b 15.4241
_cell_length_c 9.3099
_cell_angle_alpha 90.00
_cell_angle_beta 92.21
_cell_angle_gamma 90.00
loop_
_atom_site_label
_atom_site_fract_x
_atom_site_fract_y
_atom_site_fract_z
Tb1 0.0000 0.0724 0.2500
Pm1 0.0000 0.4380 0.7500
Pr1 0.0736 0.1402 0.5953
Pr2 0.0754 0.3479 0.4209
Pr3 0.2471 0.2800 0.8195
Sm1 0.2502 0.0476 0.9353
```



2.
The following is a DFT calculation (PBE) of a geometry-optimized CaThIrPt structure.

Properties
V	351.9	Å³ per cell
final energy	-110.49	eV/cell
energy of formation from the pure elements	-0.825	eV/atom

Structure (CIF):
```
data_CaThIrPt
_space_group_name_H-M_alt 'F -4 3 m'
_space_group_IT_number 216
_space_group_name_Hall 'F -4 2 3'
_cell_length_a 7.0602
_cell_length_b 7.0602
_cell_length_c 7.0602
_cell_angle_alpha 90.00
_cell_angle_beta 90.00
_cell_angle_gamma 90.00
loop_
_atom_site_label
_atom_site_fract_x
_atom_site_fract_y
_atom_site_fract_z
Ca1 0.0000 0.0000 0.0000
Th1 0.0000 0.0000 0.5000
Ir1 0.2500 0.2500 0.2500
Pt1 0.2500 0.2500 0.7500
```



Total moment list, top to bottom, in Bohr magnetons per cell: 0.000; 0.000